A plane-wave DFT calculation with PBE was carried out for CsU3F10 after structural relaxation.

## Properties
Crystal system: cubic
D(E_F), states/eV/cell: 27.022
Raw formation energy, meV/atom: -3314
Magnetization, μB per cell: 18.01

Cell: 8.7242 8.7242 8.7242 Å, 60.00 60.00 60.00°
Last column: nearest neighbours and their distance in Å.
Element x y z (fractional)
F: 0.8298 0.3901 0.3901  3 U 2.53, 3 F 2.71
F: 0.0000 0.0000 0.6618  2 U 2.35
Cs: 0.2500 0.2500 0.2500  4 F 2.99
F: 0.6618 0.3382 0.0000  2 U 2.35
F: 0.6618 0.0000 0.0000  2 U 2.35
F: 0.0000 0.3382 0.6618  2 U 2.35
F: 0.6099 0.6099 0.1702  3 U 2.53, 3 F 2.71
F: 0.6618 0.0000 0.3382  2 U 2.35
F: 0.0000 0.6618 0.0000  2 U 2.35
F: 0.6099 0.6099 0.6099  3 U 2.53, 3 F 2.71
F: 0.1702 0.6099 0.6099  3 U 2.53, 3 F 2.71
F: 0.3382 0.0000 0.6618  2 U 2.35
U: 0.2567 0.2567 0.7433  8 F 2.35-2.53
U: 0.7433 0.2567 0.2567  8 F 2.35-2.53
F: 0.3901 0.3901 0.8298  3 U 2.53, 3 F 2.71
F: 0.0000 0.0000 0.3382  2 U 2.35
Cs: 0.7500 0.7500 0.7500  4 F 2.99
F: 0.6099 0.1702 0.6099  3 U 2.53, 3 F 2.71
F: 0.0000 0.6618 0.3382  2 U 2.35
U: 0.7433 0.7433 0.2567  8 F 2.35-2.53
U: 0.2567 0.7433 0.2567  8 F 2.35-2.53
F: 0.3901 0.8298 0.3901  3 U 2.53, 3 F 2.71
F: 0.0000 0.3382 0.0000  2 U 2.35
F: 0.3901 0.3901 0.3901  3 U 2.53, 3 F 2.71
U: 0.2567 0.7433 0.7433  8 F 2.35-2.53
F: 0.3382 0.6618 0.0000  2 U 2.35
F: 0.3382 0.0000 0.0000  2 U 2.35
U: 0.7433 0.2567 0.7433  8 F 2.35-2.53

=====

A plane-wave DFT calculation with PBE was carried out for Na4HfP2 after structural relaxation.

## Properties
Formation energy from the elements, eV/atom: 0.744
Crystal system: tetragonal
D(E_F), states/eV/cell: 3.039
Magnetization, μB per cell: 1.98

Cell: 5.8324 5.8324 8.2051 Å, 69.18 69.18 90.00°
Last column: nearest neighbours and their distance in Å.
Element x y z (fractional)
P: 0.5747 0.5747 0.8506  1 P 2.12
Na: 0.0000 0.5000 0.0000  2 Hf 2.92, 4 P 3.10
P: 0.4253 0.4253 0.1494  1 P 2.12
Na: 0.2338 0.2338 0.5323  1 P 2.72
Na: 0.5000 0.0000 0.0000  2 Hf 2.92, 4 P 3.10
Hf: 0.0000 0.0000 0.0000  4 Na 2.92
Na: 0.7662 0.7662 0.4677  1 P 2.72

=====

A plane-wave DFT calculation with PBE was carried out for Pm2Dy2YHo after structural relaxation.

## Properties
Formation energy from the elements, eV/atom: 0.062
Crystal system: orthorhombic
D(E_F), states/eV/cell: 19.168
Magnetization, μB per cell: 0.00

Cell: 5.6485 7.0232 9.7883 Å, 90.00 90.00 90.00°
Last column: nearest neighbours and their distance in Å.
Element x y z (fractional)
Pm: 0.0000 0.2575 0.1746  5 Dy 3.21-3.51
Ho: 0.5000 0.7577 0.3399  5 Dy 3.23-3.51
Dy: 0.5000 0.2577 0.3305  2 Pm 3.21, 3 Ho 3.23-3.51
Dy: 0.0000 0.2575 0.8370  7 Pm 3.30-3.69, 2 Ho 3.31
Pm: 0.0000 0.7575 0.8254  5 Dy 3.21-3.51
Pm: 0.5000 0.5075 0.0000  6 Pm 3.51-3.74, 6 Dy 3.68-3.69, 2 Ho 3.76
Pm: 0.5000 0.0075 0.0000  6 Pm 3.51-3.74, 6 Dy 3.68-3.69, 2 Ho 3.76
Dy: 0.0000 0.7575 0.1630  7 Pm 3.30-3.69, 2 Ho 3.31
Dy: 0.5000 0.7577 0.6695  2 Pm 3.21, 3 Ho 3.23-3.51
Ho: 0.5000 0.2577 0.6601  5 Dy 3.23-3.51
Y: 0.0000 0.5077 0.5000  2 Y 3.51, 2 Pm 3.64, 4 Ho 3.68, 6 Dy 3.72-3.74
Y: 0.0000 0.0077 0.5000  2 Y 3.51, 2 Pm 3.64, 4 Ho 3.68, 6 Dy 3.72-3.74

=====

A plane-wave DFT calculation with PBE was carried out for MnAs after structural relaxation.

## Properties
Formation energy from the elements, eV/atom: -0.054
Crystal system: orthorhombic
D(E_F), states/eV/cell: 11.070
Magnetization, μB per cell: 13.42

Cell: 3.7171 8.4607 5.9170 Å, 90.00 90.00 90.00°
Last column: nearest neighbours and their distance in Å.
Element x y z (fractional)
Mn: 0.5000 0.2727 0.0345  6 As 2.46-2.64, 2 Mn 2.69
As: 0.0000 0.3404 0.7528  5 Mn 2.39-2.56
Mn: 0.5000 0.7273 0.0345  6 As 2.46-2.64, 2 Mn 2.69
As: 0.5000 0.5000 0.3413  6 Mn 2.39-2.64
Mn: 0.0000 0.0000 0.5860  4 As 2.39
As: 0.0000 0.1596 0.2528  5 Mn 2.39-2.56
Mn: 0.5000 0.7727 0.5345  6 As 2.46-2.64, 2 Mn 2.69
As: 0.5000 0.0000 0.8413  6 Mn 2.39-2.64
As: 0.0000 0.6596 0.7528  5 Mn 2.39-2.56
As: 0.0000 0.8404 0.2528  5 Mn 2.39-2.56
Mn: 0.5000 0.2273 0.5345  6 As 2.46-2.64, 2 Mn 2.69
Mn: 0.0000 0.5000 0.0860  4 As 2.39